## LaPu3Co (PBE-GGA)

Data for an optimized crystal structure of LaPu3Co.

The volume is 28.57 A^3/atom. Its final energy is -10.76 eV per atom. The value obtained for the energy of formation from the pure elements is 250 meV per atom.

It has space group Pm-3m (No. 221), with a = 5.227 Å, b = 5.227 Å, c = 5.227 Å, α = 90.00°, β = 90.00° and γ = 90.00°. The distinct sites, in fractional coordinates, are La at (0.000, 0.000, 0.000), Pu at (0.000, 0.500, 0.500) and Co at (0.500, 0.500, 0.500).